1.
A relaxed ZnCo15 crystal. Source: OQMD via LeMat-Bulk, functional PBE-GGA.

```
ZnCo15
1.0
4.960 0.000 0.000
0.000 2.478 0.000
0.000 0.000 41.277
Co Zn
30 2
direct
0.625 0.500 0.182
0.378 0.000 0.224
0.872 0.000 0.224
0.125 0.500 0.266
0.625 0.500 0.266
0.374 0.000 0.309
0.876 0.000 0.309
0.625 0.500 0.351
0.125 0.500 0.351
0.375 0.000 0.394
0.875 0.000 0.394
0.625 0.500 0.436
0.125 0.500 0.436
0.375 0.000 0.479
0.875 0.000 0.479
0.625 0.500 0.521
0.125 0.500 0.521
0.875 0.000 0.564
0.375 0.000 0.564
0.125 0.500 0.606
0.625 0.500 0.606
0.375 0.000 0.649
0.875 0.000 0.649
0.123 0.500 0.691
0.627 0.500 0.691
0.875 0.000 0.734
0.375 0.000 0.734
0.624 0.500 0.776
0.126 0.500 0.776
0.375 0.000 0.816
0.125 0.500 0.177
0.875 0.000 0.823
```

Results
- E_tot: -212.688 eV per cell
- DFT formation energy: 0.095 eV/atom
- Space-group type: Pm

2.
A relaxed Zn2Co crystal. Source: OQMD via LeMat-Bulk, functional PBE-GGA.

```
Zn2Co
1.0
-8.864 8.217 -4.473
-2.022 -1.807 0.689
-0.278 1.741 3.750
Co Zn
4 8
direct
0.619 0.000 0.000
0.119 0.500 0.000
0.825 0.000 0.500
0.325 0.500 0.500
0.283 0.000 0.000
0.954 0.000 0.000
0.454 0.500 0.000
0.783 0.500 0.000
0.161 0.000 0.500
0.490 0.000 0.500
0.661 0.500 0.500
0.990 0.500 0.500
```

Results
- E_tot: -38.758 eV per cell
- DFT formation energy: -0.018 eV/atom
- Space-group type: Cmcm

3.
A relaxed Zn3Co crystal. Source: OQMD via LeMat-Bulk, functional PBE-GGA.

```
Zn3Co
1.0
-3.088 -1.482 -3.965
-4.109 -3.123 0.906
-3.712 5.163 0.961
Co Zn
3 9
direct
0.667 0.667 0.207
0.333 0.333 0.542
0.000 0.000 0.877
0.666 0.167 0.209
0.167 0.666 0.209
0.167 0.167 0.209
0.833 0.833 0.542
0.833 0.333 0.542
0.333 0.833 0.542
0.500 0.000 0.875
0.000 0.500 0.875
0.500 0.500 0.875
```

Results
- E_tot: -33.216 eV per cell
- DFT formation energy: -0.043 eV/atom
- Space-group type: P-3m1

4.
A relaxed Zn3Co crystal. Source: OQMD via LeMat-Bulk, functional PBE-GGA.

```
Zn3Co
1.0
-1.806 1.806 3.950
1.806 -1.806 3.950
1.806 1.806 -3.950
Co Zn
1 3
direct
0.000 0.000 0.000
0.500 0.500 0.000
0.750 0.250 0.500
0.250 0.750 0.500
```

Results
- E_tot: -11.026 eV per cell
- DFT formation energy: -0.031 eV/atom
- Space-group type: I4/mmm

5.
A relaxed Zn3Co crystal. Source: OQMD via LeMat-Bulk, functional PBE-GGA.

```
Zn3Co
1.0
-3.637 -0.024 0.766
-0.133 -3.639 -0.745
0.754 -0.756 3.560
Co Zn
1 3
direct
0.000 0.000 0.000
0.500 0.500 0.000
0.500 0.000 0.500
0.000 0.500 0.500
```

Results
- E_tot: -11.078 eV per cell
- DFT formation energy: -0.044 eV/atom
- Space-group type: Pm-3m

6.
A relaxed ZnCo124 crystal. Source: OQMD via LeMat-Bulk, functional PBE-GGA.

```
ZnCo124
1.0
0.000 8.770 8.770
8.770 0.000 8.770
8.770 8.770 0.000
Co Zn
124 1
direct
0.203 0.000 0.000
0.399 0.000 0.000
0.601 0.000 0.000
0.797 0.000 0.000
0.200 0.200 0.000
0.600 0.200 0.000
0.000 0.203 0.000
0.797 0.203 0.000
0.000 0.399 0.000
0.601 0.399 0.000
0.800 0.400 0.000
0.200 0.600 0.000
0.000 0.601 0.000
0.399 0.601 0.000
0.000 0.797 0.000
0.203 0.797 0.000
0.400 0.800 0.000
0.800 0.800 0.000
0.800 0.600 0.000
0.600 0.800 0.000
0.600 0.600 0.000
0.800 0.200 0.200
0.200 0.800 0.200
0.800 0.800 0.200
0.600 0.600 0.200
0.200 0.200 0.200
0.400 0.200 0.200
0.200 0.400 0.200
0.600 0.400 0.200
0.800 0.400 0.200
0.400 0.600 0.200
0.800 0.600 0.200
0.400 0.800 0.200
0.600 0.800 0.200
0.000 0.400 0.200
0.400 0.000 0.200
0.400 0.400 0.200
0.200 0.000 0.200
0.600 0.000 0.200
0.000 0.200 0.200
0.600 0.200 0.200
0.000 0.600 0.200
0.200 0.600 0.200
0.000 0.000 0.203
0.797 0.000 0.203
0.000 0.797 0.203
0.000 0.000 0.399
0.601 0.000 0.399
0.000 0.601 0.399
0.600 0.200 0.400
0.800 0.200 0.400
0.200 0.600 0.400
0.800 0.600 0.400
0.200 0.800 0.400
0.600 0.800 0.400
0.200 0.200 0.400
0.400 0.400 0.400
0.800 0.400 0.400
0.400 0.800 0.400
0.600 0.400 0.400
0.400 0.600 0.400
0.600 0.600 0.400
0.400 0.200 0.400
0.200 0.400 0.400
0.000 0.400 0.400
0.000 0.200 0.400
0.200 0.000 0.400
0.400 0.000 0.400
0.800 0.000 0.400
0.000 0.800 0.400
0.800 0.800 0.400
0.200 0.000 0.600
0.000 0.200 0.600
0.200 0.200 0.600
0.800 0.000 0.600
0.600 0.000 0.600
0.000 0.600 0.600
0.800 0.600 0.600
0.000 0.800 0.600
0.600 0.800 0.600
0.400 0.400 0.600
0.600 0.400 0.600
0.400 0.600 0.600
0.600 0.200 0.600
0.200 0.600 0.600
0.600 0.600 0.600
0.800 0.800 0.600
0.400 0.200 0.600
0.800 0.200 0.600
0.200 0.400 0.600
0.800 0.400 0.600
0.200 0.800 0.600
0.400 0.800 0.600
0.000 0.000 0.601
0.399 0.000 0.601
0.000 0.399 0.601
0.000 0.000 0.797
0.203 0.000 0.797
0.000 0.203 0.797
0.400 0.000 0.800
0.800 0.000 0.800
0.000 0.400 0.800
0.800 0.400 0.800
0.000 0.800 0.800
0.400 0.800 0.800
0.600 0.000 0.800
0.000 0.600 0.800
0.600 0.600 0.800
0.400 0.200 0.800
0.600 0.200 0.800
0.200 0.400 0.800
0.600 0.400 0.800
0.200 0.600 0.800
0.400 0.600 0.800
0.800 0.600 0.800
0.600 0.800 0.800
0.800 0.800 0.800
0.400 0.400 0.800
0.200 0.200 0.800
0.800 0.200 0.800
0.200 0.800 0.800
0.400 0.200 0.000
0.400 0.400 0.000
0.200 0.400 0.000
0.000 0.000 0.000
```

Results
- E_tot: -880.250 eV per cell
- DFT formation energy: 0.018 eV/atom
- Space-group type: Fm-3m

7.
A relaxed ZnCo15 crystal. Source: OQMD via LeMat-Bulk, functional PBE-GGA.

```
ZnCo15
1.0
-1.572 3.143 -2.446
8.232 -17.351 -27.585
-3.118 -2.812 0.838
Co Zn
30 2
direct
0.500 0.259 0.250
0.000 0.297 0.250
0.500 0.333 0.250
0.000 0.370 0.250
0.500 0.408 0.250
0.000 0.445 0.250
0.500 0.481 0.250
0.000 0.518 0.250
0.500 0.555 0.250
0.000 0.592 0.250
0.500 0.629 0.250
0.000 0.667 0.250
0.500 0.702 0.250
0.000 0.741 0.250
0.500 0.773 0.250
0.500 0.227 0.750
0.000 0.259 0.750
0.500 0.298 0.750
0.000 0.333 0.750
0.500 0.371 0.750
0.000 0.408 0.750
0.500 0.445 0.750
0.000 0.482 0.750
0.500 0.519 0.750
0.000 0.555 0.750
0.500 0.592 0.750
0.000 0.630 0.750
0.500 0.667 0.750
0.000 0.703 0.750
0.500 0.741 0.750
0.000 0.218 0.250
0.000 0.782 0.750
```

Results
- E_tot: -211.511 eV per cell
- DFT formation energy: 0.132 eV/atom
- Space-group type: P2/c

8.
A relaxed ZnCo crystal. Source: OQMD via LeMat-Bulk, functional PBE-GGA.

```
ZnCo
1.0
-1.641 3.206 -1.927
-1.607 -3.723 -0.496
-2.878 0.750 3.698
Co Zn
2 2
direct
0.333 0.667 0.438
0.000 0.000 0.938
0.000 0.000 0.437
0.333 0.667 0.937
```

Results
- E_tot: -13.255 eV per cell
- DFT formation energy: 0.872 eV/atom
- Space-group type: P6_3/mmc

9.
A relaxed Zn3Co crystal. Source: OQMD via LeMat-Bulk, functional PBE-GGA.

```
Zn3Co
1.0
2.308 -2.001 2.849
-1.664 -3.127 2.213
1.226 -3.932 -0.693
Co Zn
1 3
direct
0.750 0.750 0.750
0.000 0.000 0.000
0.250 0.250 0.250
0.500 0.500 0.500
```

Results
- E_tot: -10.841 eV per cell
- DFT formation energy: 0.015 eV/atom
- Space-group type: Fm-3m

10.
A relaxed ZnCo2 crystal. Source: OQMD via LeMat-Bulk, functional PBE-GGA.

```
ZnCo2
1.0
0.000 3.336 3.336
3.336 0.000 3.336
3.336 3.336 0.000
Co Zn
4 2
direct
0.625 0.625 0.125
0.625 0.125 0.625
0.125 0.625 0.625
0.625 0.625 0.625
0.000 0.000 0.000
0.250 0.250 0.250
```

Results
- E_tot: -30.138 eV per cell
- DFT formation energy: 0.136 eV/atom
- Space-group type: Fd-3m

11.
A relaxed ZnCo crystal. Source: OQMD via LeMat-Bulk, functional PBE-GGA.

```
ZnCo
1.0
2.239 3.877 0.000
-4.442 5.149 0.000
0.000 0.000 4.179
Co Zn
5 5
direct
0.609 0.193 0.000
0.002 0.407 0.000
0.808 0.800 0.000
0.050 0.609 0.500
0.859 0.991 0.500
0.191 0.007 0.000
0.399 0.593 0.000
0.269 0.209 0.500
0.678 0.391 0.500
0.466 0.800 0.500
```

Results
- E_tot: -41.642 eV per cell
- DFT formation energy: 0.021 eV/atom
- Space-group type: Amm2

12.
A relaxed Zn2Co crystal. Source: OQMD via LeMat-Bulk, functional PBE-GGA.

```
Zn2Co
1.0
4.469 0.000 0.000
0.000 7.956 0.000
0.000 0.000 4.212
Co Zn
4 8
direct
0.005 0.000 0.000
0.505 0.500 0.000
0.328 0.000 0.500
0.828 0.500 0.500
0.493 0.162 0.000
0.993 0.338 0.000
0.993 0.662 0.000
0.493 0.838 0.000
0.840 0.162 0.500
0.340 0.338 0.500
0.340 0.662 0.500
0.840 0.838 0.500
```

Results
- E_tot: -38.533 eV per cell
- DFT formation energy: 0.001 eV/atom
- Space-group type: Cmcm

13.
A relaxed ZnCo2 crystal. Source: OQMD via LeMat-Bulk, functional PBE-GGA.

```
ZnCo2
1.0
0.807 -2.429 2.922
-1.037 0.915 3.630
-2.866 -1.951 1.752
Co Zn
2 1
direct
0.250 0.250 0.250
0.750 0.750 0.750
0.000 0.000 0.000
```

Results
- E_tot: -13.551 eV per cell
- DFT formation energy: 0.642 eV/atom
- Space-group type: Fm-3m

14.
A relaxed Zn3Co crystal. Source: OQMD via LeMat-Bulk, functional PBE-GGA.

```
Zn3Co
1.0
4.195 0.000 0.000
0.000 5.196 0.000
0.000 0.000 4.723
Co Zn
2 6
direct
0.500 0.000 0.338
0.000 0.500 0.662
0.000 0.252 0.163
0.000 0.748 0.163
0.500 0.500 0.357
0.000 0.000 0.643
0.500 0.248 0.837
0.500 0.752 0.837
```

Results
- E_tot: -22.152 eV per cell
- DFT formation energy: -0.044 eV/atom
- Space-group type: Pmmn

15.
A relaxed ZrZn20Co2 crystal. Source: OQMD via LeMat-Bulk, functional PBE-GGA.

```
ZrZn20Co2
1.0
0.864 -1.012 9.697
-5.716 -6.342 4.787
3.839 -8.189 3.743
Co Zn Zr
4 40 2
direct
0.125 0.125 0.125
0.625 0.125 0.125
0.125 0.625 0.125
0.125 0.125 0.625
0.387 0.113 0.113
0.113 0.387 0.113
0.387 0.387 0.113
0.625 0.625 0.125
0.863 0.137 0.137
0.137 0.863 0.137
0.863 0.863 0.137
0.829 0.301 0.301
0.829 0.569 0.301
0.301 0.829 0.301
0.569 0.829 0.301
0.569 0.301 0.301
0.301 0.569 0.301
0.113 0.113 0.387
0.387 0.113 0.387
0.113 0.387 0.387
0.949 0.681 0.421
0.681 0.949 0.421
0.949 0.949 0.421
0.829 0.301 0.569
0.301 0.301 0.569
0.301 0.829 0.569
0.625 0.125 0.625
0.125 0.625 0.625
0.625 0.625 0.625
0.421 0.949 0.681
0.949 0.949 0.681
0.949 0.421 0.681
0.301 0.301 0.829
0.569 0.301 0.829
0.301 0.569 0.829
0.137 0.137 0.863
0.863 0.137 0.863
0.137 0.863 0.863
0.421 0.681 0.949
0.421 0.949 0.949
0.681 0.421 0.949
0.949 0.681 0.949
0.681 0.949 0.949
0.949 0.421 0.949
0.500 0.500 0.500
0.750 0.750 0.750
```

Results
- E_tot: -103.719 eV per cell
- DFT formation energy: -0.165 eV/atom
- Space-group type: Fd-3m